# SnMo3Pt

An optimized crystal structure of SnMo3Pt (PBE, Alexandria via LeMat-Bulk).

Geometry as CIF:
```
data_SnMo3Pt
_chemical_formula_sum 'Sn1 Mo3 Pt1'
_cell_length_a 4.823
_cell_length_b 4.823
_cell_length_c 4.823
_cell_angle_alpha 90.00
_cell_angle_beta 90.00
_cell_angle_gamma 90.00
_space_group_name_H-M_alt 'P m -3 m'
_space_group_IT_number 221
_space_group_name_Hall '-P 4 2 3'
loop_
_atom_site_label
_atom_site_type_symbol
_atom_site_fract_x
_atom_site_fract_y
_atom_site_fract_z
Sn1 Sn 0.000 0.000 0.000
Mo1 Mo 0.000 0.500 0.500
Pt1 Pt 0.500 0.500 0.500
```

Output
The density of states at the Fermi level comes out at 1.27 states/eV per atom. The calculation puts the energy relative to the lowest polymorph listed for this composition at 0.000 eV/atom. The electronic total energy is -0.5133 Ry per atom.